1.
## LaSc2BiO (PBE-GGA)

Data for an optimized crystal structure of LaSc2BiO.

Cell and atoms, written as POSCAR:
```
LaSc2BiO
1.0
4.560 0.000 0.000
0.000 4.560 0.000
0.000 0.000 5.225
Sc Bi O La
2 1 1 1
direct
0.500 0.000 0.000
0.000 0.500 0.000
0.500 0.500 0.500
0.000 0.000 0.000
0.000 0.000 0.500
```

## Properties
Magnetization = 0.001 μB/cell
Symmetry = P4/mmm (123)
Total DFT energy (no corrections) = -6.646 eV per atom
ΔE_f (raw) = -1.3598 eV/atom

---

2.
## CsLiW3 (PBE-GGA)

Data for an optimized crystal structure of CsLiW3.

Cell and atoms, written as POSCAR:
```
CsLiW3
1.0
-0.983 -3.088 -3.198
-2.655 -2.219 2.959
-3.565 2.504 -1.321
W Li Cs
3 1 1
direct
0.000 0.500 0.000
0.500 0.000 0.000
0.000 0.000 0.500
0.000 0.000 0.000
0.500 0.500 0.500
```

## Properties
Excess energy over the best structure of this formula in the dataset = 0.0 meV per atom
Magnetization = 0.000 μB/cell
Symmetry = Pm-3m (221)
Total DFT energy (no corrections) = -5.590 eV per atom
Energy of formation = 2735 meV/atom

---

3.
## CrReNi2 (PBE-GGA)

Data for an optimized crystal structure of CrReNi2.

Cell and atoms, written as POSCAR:
```
CrReNi2
1.0
2.548 0.016 0.000
-0.016 2.548 0.000
0.000 0.000 7.501
Re Cr Ni
1 1 2
direct
0.500 0.500 0.250
0.500 0.500 0.750
0.000 0.000 0.511
0.000 0.000 0.989
```

## Properties
Excess energy over the best structure of this formula in the dataset = 86.6 meV per atom
Magnetization = 1.050 μB/cell
Symmetry = P4/mmm (123)
Total DFT energy (no corrections) = -8.317 eV per atom
Energy of formation = 91 meV/atom

---

4.
## LaDyTmAg (PBE-GGA)

Data for an optimized crystal structure of LaDyTmAg.

Cell and atoms, written as POSCAR:
```
LaDyTmAg
1.0
3.638 0.000 0.000
0.000 3.638 0.000
0.000 0.000 8.715
Tm La Ag Dy
1 1 1 1
direct
0.500 0.500 0.370
0.000 0.000 0.074
0.000 0.000 0.566
0.500 0.500 0.776
```

## Properties
Excess energy over the best structure of this formula in the dataset = 0.0 meV per atom
Magnetization = 0.000 μB/cell
Symmetry = P4mm (99)
Total DFT energy (no corrections) = -4.341 eV per atom
Energy of formation = -128 meV/atom

---

5.
## Pm2Er3Th2 (PBE-GGA)

Data for an optimized crystal structure of Pm2Er3Th2.

Cell and atoms, written as POSCAR:
```
Pm2Er3Th2
1.0
-0.303 -2.174 -2.654
-4.847 -5.209 4.822
-3.722 7.401 -3.403
Pm Th Er
2 2 3
direct
0.563 0.909 0.126
0.437 0.091 0.874
0.846 0.647 0.692
0.154 0.353 0.308
0.216 0.800 0.431
0.000 0.500 0.000
0.784 0.200 0.569
```

## Properties
Excess energy over the best structure of this formula in the dataset = 112.3 meV per atom
Magnetization = 0.001 μB/cell
Symmetry = C2/m (12)
Total DFT energy (no corrections) = -5.290 eV per atom
Energy of formation = 143 meV/atom

---

6.
## NaLaPmSb (PBE-GGA)

Data for an optimized crystal structure of NaLaPmSb.

Cell and atoms, written as POSCAR:
```
NaLaPmSb
1.0
5.502 0.000 0.000
2.751 4.765 0.000
2.751 1.588 4.492
Pm Na Sb La
1 1 1 1
direct
0.750 0.750 0.750
0.000 0.000 0.000
0.500 0.500 0.500
0.250 0.250 0.250
```

## Properties
Magnetization = 0.000 μB/cell
Symmetry = F-43m (216)
Total DFT energy (no corrections) = -4.195 eV per atom
ΔE_f (raw) = -0.4154 eV/atom

---

7.
## Ca2CoNi (PBE-GGA)

Data for an optimized crystal structure of Ca2CoNi.

Cell and atoms, written as POSCAR:
```
Ca2CoNi
1.0
8.257 0.040 0.024
7.472 3.513 0.024
7.472 1.688 3.081
Ca Co Ni
2 1 1
direct
0.498 0.498 0.498
0.002 0.002 0.002
0.250 0.250 0.250
0.750 0.750 0.750
```

## Properties
Excess energy over the best structure of this formula in the dataset = 478.8 meV per atom
Magnetization = 1.136 μB/cell
Symmetry = R-3m (166)
Total DFT energy (no corrections) = -3.712 eV per atom
Energy of formation = 511 meV/atom

---

8.
## Ba2CdSe2I2 (PBE-GGA)

Data for an optimized crystal structure of Ba2CdSe2I2.

Cell and atoms, written as POSCAR:
```
Ba2CdSe2I2
1.0
-2.733 -2.538 3.870
3.797 -3.799 0.190
3.909 7.920 4.222
Se I Cd Ba
2 2 1 2
direct
0.000 0.500 0.000
0.500 0.000 0.000
0.186 0.186 0.372
0.814 0.814 0.628
0.000 0.000 0.000
0.616 0.616 0.232
0.384 0.384 0.768
```

## Properties
Magnetization = 0.000 μB/cell
Symmetry = I4/mmm (139)
Total DFT energy (no corrections) = -3.580 eV per atom
ΔE_f (raw) = -1.4617 eV/atom

---

Q: What is the magnetization in the fourth record?
A: 0.000 μB/cell

---

Q: Which value of magnetization does entry 1 give?
A: 0.001 μB/cell